Entry 1:
The following is a DFT calculation (PBE) of a relaxed structure of Nd3Cu5F12.

a b c (Å): 11.621 11.621 11.621
angles (deg): 109.47 109.47 109.47
Fractional coordinates of all 80 atoms:
Nd 0.750 0.375 0.125
Nd 0.875 0.750 0.125
Nd 0.375 0.750 0.625
Nd 0.250 0.125 0.375
Nd 0.875 0.125 0.250
Nd 0.375 0.625 0.250
Nd 0.625 0.375 0.750
Nd 0.125 0.875 0.750
Nd 0.750 0.875 0.625
Nd 0.625 0.250 0.375
Nd 0.125 0.250 0.875
Nd 0.250 0.625 0.875
Cu 0.125 0.375 0.250
Cu 0.000 0.500 0.000
Cu 0.000 0.000 0.000
Cu 0.375 0.250 0.125
Cu 0.500 0.000 0.500
Cu 0.500 0.500 0.000
Cu 0.125 0.750 0.375
Cu 0.750 0.125 0.875
Cu 0.750 0.625 0.375
Cu 0.375 0.125 0.750
Cu 0.625 0.875 0.250
Cu 0.500 0.500 0.500
Cu 0.500 0.000 0.000
Cu 0.000 0.000 0.500
Cu 0.250 0.375 0.625
Cu 0.250 0.875 0.125
Cu 0.000 0.500 0.500
Cu 0.875 0.250 0.625
Cu 0.625 0.750 0.875
Cu 0.875 0.625 0.750
F 0.726 0.139 0.059
F 0.333 0.559 0.419
F 0.941 0.361 0.274
F 0.559 0.226 0.139
F 0.587 0.726 0.667
F 0.941 0.581 0.167
F 0.333 0.774 0.413
F 0.081 0.913 0.139
F 0.581 0.941 0.667
F 0.726 0.587 0.167
F 0.774 0.441 0.361
F 0.833 0.919 0.059
F 0.139 0.726 0.559
F 0.361 0.419 0.087
F 0.087 0.919 0.361
F 0.413 0.139 0.581
F 0.087 0.167 0.226
F 0.441 0.667 0.081
F 0.833 0.913 0.274
F 0.139 0.413 0.081
F 0.361 0.941 0.774
F 0.581 0.639 0.413
F 0.919 0.833 0.559
F 0.774 0.333 0.913
F 0.419 0.361 0.587
F 0.081 0.167 0.441
F 0.226 0.667 0.087
F 0.167 0.087 0.726
F 0.639 0.059 0.226
F 0.861 0.587 0.919
F 0.559 0.333 0.919
F 0.587 0.861 0.419
F 0.913 0.833 0.774
F 0.913 0.081 0.639
F 0.861 0.274 0.441
F 0.167 0.081 0.941
F 0.639 0.581 0.913
F 0.419 0.059 0.333
F 0.274 0.413 0.833
F 0.226 0.559 0.639
F 0.919 0.087 0.861
F 0.667 0.226 0.587
F 0.441 0.774 0.861
F 0.059 0.419 0.833
F 0.413 0.274 0.333
F 0.059 0.639 0.726
F 0.667 0.441 0.581
F 0.274 0.861 0.941

Results
E_tot (eV per cell): -412.111
Total magnetization (μB/f.u.): 0.00
Uncorrected formation energy (eV per atom): -2.289

---

Entry 2:
The following is a DFT calculation (PBE) of a relaxed structure of NdCuF.

a b c (Å): 3.393 3.393 8.710
angles (deg): 90.00 90.00 90.00
Fractional coordinates of all 6 atoms:
Cu 0.000 0.500 0.557
Cu 0.500 0.000 0.443
Nd 0.000 0.500 0.213
Nd 0.500 0.000 0.787
F 0.500 0.000 0.075
F 0.000 0.500 0.925

Results
E_tot (eV per cell): -31.101
Total magnetization (μB/f.u.): 0.00
Uncorrected formation energy (eV per atom): -1.605

---

Entry 3:
The following is a DFT calculation (PBE) of a relaxed structure of NdCuPF.

a b c (Å): 3.868 3.868 8.501
angles (deg): 90.00 90.00 90.00
Fractional coordinates of all 8 atoms:
Nd 0.500 0.000 0.691
Nd 0.000 0.500 0.309
Cu 0.500 0.500 0.000
Cu 0.000 0.000 0.000
P 0.000 0.500 0.830
P 0.500 0.000 0.170
F 0.000 0.000 0.500
F 0.500 0.500 0.500

Results
E_tot (eV per cell): -47.903
Total magnetization (μB/f.u.): 0.00
Uncorrected formation energy (eV per atom): -1.952

---

Entry 4:
The following is a DFT calculation (PBE) of a relaxed structure of Rb2NdCu3F12.

a b c (Å): 7.003 7.003 7.003
angles (deg): 66.30 66.30 66.30
Fractional coordinates of all 18 atoms:
Rb 0.610 0.610 0.610
Rb 0.390 0.390 0.390
Nd 0.000 0.000 0.000
Cu 0.500 0.000 0.000
Cu 0.000 0.500 0.000
Cu 0.000 0.000 0.500
F 0.269 0.269 0.903
F 0.876 0.876 0.393
F 0.393 0.876 0.876
F 0.903 0.269 0.269
F 0.876 0.393 0.876
F 0.269 0.903 0.269
F 0.731 0.731 0.097
F 0.124 0.124 0.607
F 0.607 0.124 0.124
F 0.097 0.731 0.731
F 0.124 0.607 0.124
F 0.731 0.097 0.731

Results
E_tot (eV per cell): -84.168
Total magnetization (μB/f.u.): 4.01
Uncorrected formation energy (eV per atom): -2.373

---

Entry 5:
The following is a DFT calculation (PBE) of a relaxed structure of Rb2NdCuF6.

a b c (Å): 7.059 7.113 8.294
angles (deg): 90.00 90.00 90.00
Fractional coordinates of all 20 atoms:
Rb 0.500 0.831 0.237
Rb 0.000 0.169 0.737
Rb 0.500 0.831 0.763
Rb 0.000 0.169 0.263
Nd 0.000 0.681 0.500
Nd 0.500 0.319 0.000
Cu 0.500 0.275 0.500
Cu 0.000 0.725 0.000
F 0.500 0.250 0.271
F 0.500 0.250 0.729
F 0.000 0.750 0.229
F 0.000 0.750 0.771
F 0.237 0.901 0.500
F 0.763 0.901 0.500
F 0.203 0.434 0.500
F 0.797 0.434 0.500
F 0.703 0.566 0.000
F 0.297 0.566 0.000
F 0.263 0.099 0.000
F 0.737 0.099 0.000

Results
E_tot (eV per cell): -101.382
ΔE to the lowest computed polymorph (meV per atom): 0
Total magnetization (μB/f.u.): 0.07
Uncorrected formation energy (eV per atom): -2.866

---

Entry 6:
The following is a DFT calculation (PBE) of a relaxed structure of Rb2NdCuF6.

a b c (Å): 6.431 6.431 6.431
angles (deg): 60.00 60.00 60.00
Fractional coordinates of all 10 atoms:
Rb 0.750 0.750 0.750
Rb 0.250 0.250 0.250
Nd 0.500 0.500 0.500
Cu 0.000 0.000 0.000
F 0.750 0.250 0.250
F 0.250 0.250 0.750
F 0.250 0.750 0.750
F 0.250 0.750 0.250
F 0.750 0.250 0.750
F 0.750 0.750 0.250

Results
E_tot (eV per cell): -50.423
ΔE to the lowest computed polymorph (meV per atom): 27
Total magnetization (μB/f.u.): 0.11
Uncorrected formation energy (eV per atom): -2.840